No. 1
A plane-wave DFT calculation with PBEsol was carried out for an optimized crystal structure of Ca3BSe.

a b c (Å): 5.0650 5.0650 5.0650
angles (deg): 90.00 90.00 90.00
Fractional coordinates of all 5 atoms:
Ca: 0.0000 0.0000 0.5000
Ca: 0.0000 0.5000 0.0000
Ca: 0.5000 0.0000 0.0000
B: 0.0000 0.0000 0.0000
Se: 0.5000 0.5000 0.5000

Output
volume: 130 Å³/f.u.

***

No. 2
A plane-wave DFT calculation with PBEsol was carried out for an optimized crystal structure of Ca2SiB.

a b c (Å): 6.1321 6.1321 6.1321
angles (deg): 104.46 104.46 120.03
Fractional coordinates of all 8 atoms:
Ca: 0.0885 0.1250 0.4635
Ca: 0.3750 0.9115 0.0365
Ca: 0.6615 0.6250 0.5365
Ca: 0.8750 0.3385 0.9635
Si: 0.2500 0.7500 0.5000
Si: 0.5000 0.5000 0.0000
B: 0.0000 0.0000 0.0000
B: 0.7500 0.2500 0.5000

Output
volume: 86 Å³/f.u.

***

No. 3
A plane-wave DFT calculation with PBEsol was carried out for an optimized crystal structure of CaSiB2W.

a b c (Å): 3.9856 3.9856 4.7500
angles (deg): 90.00 90.00 90.00
Fractional coordinates of all 5 atoms:
Ca: 0.0000 0.0000 0.0000
Si: 0.0000 0.0000 0.5000
B: 0.0000 0.5000 0.0000
B: 0.5000 0.0000 0.0000
W: 0.5000 0.5000 0.5000

Output
volume: 75 Å³/f.u.

***

No. 4
A plane-wave DFT calculation with PBEsol was carried out for an optimized crystal structure of Ca2TaB.

a b c (Å): 7.3197 7.3197 7.3197
angles (deg): 94.91 94.91 145.97
Fractional coordinates of all 8 atoms:
Ca: 0.3750 0.2188 0.3438
Ca: 0.7812 0.1250 0.1562
Ca: 0.8750 0.0312 0.6562
Ca: 0.9688 0.6250 0.8438
Ta: 0.2500 0.7500 0.5000
Ta: 0.5000 0.5000 0.0000
B: 0.0000 0.0000 0.0000
B: 0.7500 0.2500 0.5000

Output
volume: 105 Å³/f.u.
formation enthalpy at 0 K: 783 meV/atom

***

No. 5
A plane-wave DFT calculation with PBEsol was carried out for an optimized crystal structure of CaTc3B.

a b c (Å): 4.2018 4.2018 4.2018
angles (deg): 90.00 90.00 90.00
Fractional coordinates of all 5 atoms:
Ca: 0.0000 0.0000 0.0000
Tc: 0.0000 0.5000 0.5000
Tc: 0.5000 0.0000 0.5000
Tc: 0.5000 0.5000 0.0000
B: 0.5000 0.5000 0.5000

Output
volume: 74 Å³/f.u.
formation enthalpy at 0 K: 401 meV/atom

***

No. 6
A plane-wave DFT calculation with PBEsol was carried out for an optimized crystal structure of CaTiB3.

a b c (Å): 4.1892 4.1892 4.1892
angles (deg): 90.00 90.00 90.00
Fractional coordinates of all 5 atoms:
Ca: 0.0000 0.0000 0.0000
Ti: 0.5000 0.5000 0.5000
B: 0.0000 0.5000 0.5000
B: 0.5000 0.0000 0.5000
B: 0.5000 0.5000 0.0000

Output
volume: 74 Å³/f.u.
formation enthalpy at 0 K: 776 meV/atom

***

Number 1: uncorrected energy -19.09 eV/cell, DOS at the Fermi energy 3.86 states/eV per cell. Number 2: uncorrected energy -29.19 eV/cell, DOS at the Fermi energy 7.16 states/eV per cell. Number 3: uncorrected energy -21.69 eV/cell, DOS at the Fermi energy 4.64 states/eV per cell. Number 4: uncorrected energy -41.40 eV/cell, DOS at the Fermi energy 9.95 states/eV per cell. Number 5: uncorrected energy -40.94 eV/cell, DOS at the Fermi energy 6.65 states/eV per cell. Number 6: uncorrected energy -27.63 eV/cell, DOS at the Fermi energy 3.61 states/eV per cell.